Density functional theory data (PBE-GGA) for crystalline Ac6LaPb4 at its relaxed geometry.

* DFT formation energy: -0.3525 eV/atom
* DOS at the Fermi energy: 13.272 states/eV per cell
* raw total energy: -4.39 eV/atom

Geometry as CIF:
```
data_Ac6LaPb4
_chemical_formula_sum 'Ac6 La1 Pb4'
_symmetry_space_group_name_H-M 'P -6 m 2'
_symmetry_Int_Tables_number 187
_symmetry_space_group_name_Hall 'P -6 2'
_cell_length_a 10.6204
_cell_length_b 10.6204
_cell_length_c 4.4994
_cell_angle_alpha 90.00
_cell_angle_beta 90.00
_cell_angle_gamma 120.00
loop_
_atom_site_label
_atom_site_fract_x
_atom_site_fract_y
_atom_site_fract_z
Ac1 0.0582 0.5291 0.0000
Ac2 0.1245 0.2490 0.5000
La1 0.6667 0.3333 0.5000
Pb1 0.3333 0.6667 0.5000
Pb2 0.3490 0.1745 0.0000
```



Density functional theory data (PBE-GGA) for crystalline SrLi2AlH at its relaxed geometry.

* DOS at the Fermi energy: 3.635 states/eV per cell
* energy relative to the lowest polymorph listed for this composition: 562.6 meV per atom
* raw total energy: -2.02 eV/atom

Geometry as CIF:
```
data_SrLi2AlH
_chemical_formula_sum 'Sr1 Li2 Al1 H1'
_symmetry_space_group_name_H-M 'P 4/m m m'
_symmetry_Int_Tables_number 123
_symmetry_space_group_name_Hall '-P 4 2'
_cell_length_a 4.946
_cell_length_b 4.946
_cell_length_c 6.411
_cell_angle_alpha 90.00
_cell_angle_beta 90.00
_cell_angle_gamma 90.00
loop_
_atom_site_label
_atom_site_fract_x
_atom_site_fract_y
_atom_site_fract_z
Sr1 0.000 0.000 0.000
Li1 0.000 0.500 0.500
Al1 0.000 0.000 0.500
H1 0.500 0.500 0.000
```



Density functional theory data (PBE-GGA) for crystalline Li2LaSc at its relaxed geometry.

* DFT formation energy: 0.2544 eV/atom
* DOS at the Fermi energy: 8.897 states/eV per cell
* energy relative to the lowest polymorph listed for this composition: 155.1 meV per atom
* raw total energy: -3.52 eV/atom

Geometry as CIF:
```
data_Li2LaSc
_chemical_formula_sum 'Li8 La4 Sc4'
_symmetry_space_group_name_H-M 'F -4 3 m'
_symmetry_Int_Tables_number 216
_symmetry_space_group_name_Hall 'F -4 2 3'
_cell_length_a 7.316
_cell_length_b 7.316
_cell_length_c 7.316
_cell_angle_alpha 90.00
_cell_angle_beta 90.00
_cell_angle_gamma 90.00
loop_
_atom_site_label
_atom_site_fract_x
_atom_site_fract_y
_atom_site_fract_z
Li1 0.000 0.000 0.000
Li2 0.250 0.250 0.250
La1 0.000 0.000 0.500
Sc1 0.250 0.250 0.750
```



Density functional theory data (PBE-GGA) for crystalline ThMgAgIr at its relaxed geometry.

* DFT formation energy: -0.3626 eV/atom
* DOS at the Fermi energy: 15.079 states/eV per cell
* raw total energy: -5.54 eV/atom

Geometry as CIF:
```
data_ThMgAgIr
_chemical_formula_sum 'Th4 Mg4 Ag4 Ir4'
_symmetry_space_group_name_H-M 'F -4 3 m'
_symmetry_Int_Tables_number 216
_symmetry_space_group_name_Hall 'F -4 2 3'
_cell_length_a 6.980
_cell_length_b 6.980
_cell_length_c 6.980
_cell_angle_alpha 90.00
_cell_angle_beta 90.00
_cell_angle_gamma 90.00
loop_
_atom_site_label
_atom_site_fract_x
_atom_site_fract_y
_atom_site_fract_z
Th1 0.000 0.000 0.000
Mg1 0.000 0.000 0.500
Ag1 0.250 0.250 0.250
Ir1 0.250 0.250 0.750
```